# 1
Re3Ni after structural relaxation. Source: the Alexandria database, functional PBEsol.

It has space group P6_3/mmc (No. 194), with a = 5.3585 Å, b = 5.3585 Å, c = 8.7125 Å, α = 90.00°, β = 90.00° and γ = 120.00°. The distinct sites, in fractional coordinates, are Re at (0.0000, 0.5000, 0.0000), Re at (0.1656, 0.3312, 0.2500), Ni at (0.0000, 0.0000, 0.0000) and Ni at (0.3333, 0.6667, 0.7500).

=====

# 2
ReNi2 after structural relaxation. Source: the Alexandria database, functional PBEsol.

The offset from the most stable computed form comes out at 70.4 meV/atom.

It has space group Fd-3m (No. 227, origin choice 2), with a = 6.5004 Å, b = 6.5004 Å, c = 6.5004 Å, α = 90.00°, β = 90.00° and γ = 90.00°. The distinct sites, in fractional coordinates, are Re at (0.1250, 0.1250, 0.1250) and Ni at (0.0000, 0.0000, 0.5000).

=====

# 3
ReNi3 after structural relaxation. Source: the Alexandria database, functional PBEsol.

It has space group Cmcm (No. 63), with a = 5.0476 Å, b = 8.8714 Å, c = 4.0918 Å, α = 90.00°, β = 90.00° and γ = 90.00°. The distinct sites, in fractional coordinates, are Re at (0.0000, 0.0871, 0.2500), Ni at (0.0000, 0.4207, 0.7500) and Ni at (0.2450, 0.3295, 0.2500).

=====

no.,formation enthalpy at 0 K (kJ/mol of formula units),ρ (g cm⁻³),DOS at the Fermi energy (states/eV/f.u.)
1,-18.4,18.93,1.9
2,0.0,14.68,2.9
3,4.1,13.13,5.4